An optimized crystal structure of MgTl2CoF6. Source: the Alexandria database, functional PBE+U.

Values from the calculation:
Crystal system ... tetragonal
E ... -4.67 eV/atom

Structure (POSCAR):
```
MgTl2CoF6
1.0
-5.100 2.042 -1.972
-2.349 -0.757 5.292
2.323 7.885 2.160
F Mg Tl Co
12 2 4 2
direct
0.251 0.500 0.500
0.749 0.500 0.500
0.751 0.500 0.000
0.249 0.000 0.000
0.251 0.000 0.500
0.500 0.250 0.759
0.751 0.000 0.000
0.500 0.250 0.241
0.000 0.750 0.741
0.749 0.000 0.500
0.249 0.500 0.000
0.000 0.750 0.259
0.500 0.250 0.000
0.000 0.750 0.500
0.500 0.750 0.250
0.500 0.750 0.750
0.000 0.250 0.250
0.000 0.250 0.750
0.000 0.750 0.000
0.500 0.250 0.500
```